Below is a relaxed structure of AcCeHoTh, with properties calculated at the PBE level.

The structure in CIF format:
```
data_AcCeHoTh
_symmetry_space_group_name_H-M 'F -4 3 m'
_symmetry_Int_Tables_number 216
_symmetry_space_group_name_Hall 'F -4 2 3'
_cell_length_a 8.1757
_cell_length_b 8.1757
_cell_length_c 8.1757
_cell_angle_alpha 90.00
_cell_angle_beta 90.00
_cell_angle_gamma 90.00
loop_
_atom_site_label
_atom_site_type_symbol
_atom_site_fract_x
_atom_site_fract_y
_atom_site_fract_z
_atom_site_occupancy
Ac1 Ac 0.0000 0.0000 0.0000 1
Ce1 Ce 0.2500 0.2500 0.7500 1
Ho1 Ho 0.2500 0.2500 0.2500 1
Th1 Th 0.0000 0.0000 0.5000 1
```

Output
calculated formation energy = 1.0 eV/f.u.
total DFT energy (no corrections) = -0.3872 Ry/atom
crystal system = cubic